CrNiP2O8: relaxed, PBE+U.

Properties
Density of states at the Fermi level in states/eV per atom: 0.387
Total magnetic moment in μB per formula unit: 0.0
Excess energy over the best structure of this formula in the dataset in meV/atom: 0
Raw total energy in hartree per atom: -0.2529

Cell: 4.803 5.763 9.850 Å, 90.00 90.23 90.00°
Space group P2_1/m (No. 11)
Inequivalent atoms, fractional coordinates:
Cr  0.051  0.250  0.273
Ni  0.438  0.250  0.770
P  0.108  0.750  0.413
P  0.376  0.750  0.908
O  0.186  0.750  0.566
O  0.206  0.250  0.604
O  0.220  0.544  0.833
O  0.251  0.538  0.340
O  0.311  0.250  0.124
O  0.331  0.750  0.059